Record 1
# PBE-GGA Li2ScRh, relaxed
data_Li2ScRh
_symmetry_space_group_name_H-M 'R -3 m'
_symmetry_Int_Tables_number 166
_symmetry_space_group_name_Hall '-R 3 2"'
_cell_length_a 2.8493
_cell_length_b 2.8493
_cell_length_c 28.8496
_cell_angle_alpha 90.00
_cell_angle_beta 90.00
_cell_angle_gamma 120.00
loop_
_atom_site_label
_atom_site_type_symbol
_atom_site_fract_x
_atom_site_fract_y
_atom_site_fract_z
Li1 Li 0.0000 0.0000 0.2376
Sc1 Sc 0.0000 0.0000 0.0000
Rh1 Rh 0.0000 0.0000 0.5000
# energy	-4.275	eV per atom
# energy relative to the elements	0.41	eV/f.u.
# density	3.972	g cm⁻³
# ΔE to the lowest computed polymorph	463	meV/atom
# crystal system	trigonal

***

Record 2
# PBE-GGA Li2ScRh, relaxed
data_Li2ScRh
_symmetry_space_group_name_H-M 'I -4 2 d'
_symmetry_Int_Tables_number 122
_symmetry_space_group_name_Hall 'I -4 2bw'
_cell_length_a 3.683
_cell_length_b 3.683
_cell_length_c 20.491
_cell_angle_alpha 90.00
_cell_angle_beta 90.00
_cell_angle_gamma 90.00
loop_
_atom_site_label
_atom_site_type_symbol
_atom_site_fract_x
_atom_site_fract_y
_atom_site_fract_z
Li1 Li 0.216 0.750 0.125
Sc1 Sc 0.000 0.000 0.500
Rh1 Rh 0.000 0.000 0.000
# energy	-4.593	eV per atom
# energy relative to the elements	-0.86	eV/f.u.
# density	3.866	g cm⁻³
# ΔE to the lowest computed polymorph	145	meV/atom
# crystal system	tetragonal

***

Record 3
# PBE-GGA Li2ScRh, relaxed
data_Li2ScRh
_symmetry_space_group_name_H-M 'C 1 2/m 1'
_symmetry_Int_Tables_number 12
_cell_length_a 5.120
_cell_length_b 10.202
_cell_length_c 3.164
_cell_angle_alpha 90.00
_cell_angle_beta 124.59
_cell_angle_gamma 90.00
loop_
_symmetry_equiv_pos_as_xyz
'x,y,z'
'-x,-y,-z'
'-x,y,-z'
'x,-y,z'
'x+1/2,y+1/2,z'
'-x+1/2,-y+1/2,-z'
'-x+1/2,y+1/2,-z'
'x+1/2,-y+1/2,z'
loop_
_atom_site_label
_atom_site_type_symbol
_atom_site_fract_x
_atom_site_fract_y
_atom_site_fract_z
Li1 Li 0.250 0.250 0.000
Sc1 Sc 0.000 0.000 0.500
Rh1 Rh 0.000 0.500 0.500
# energy	-4.613	eV per atom
# energy relative to the elements	-0.94	eV/f.u.
# density	3.948	g cm⁻³
# ΔE to the lowest computed polymorph	125	meV/atom
# crystal system	monoclinic

***

Record 4
# PBE-GGA Li2ScRh, relaxed
data_Li2ScRh
_symmetry_space_group_name_H-M 'P m m m'
_symmetry_Int_Tables_number 47
_cell_length_a 3.553
_cell_length_b 3.881
_cell_length_c 4.779
_cell_angle_alpha 90.00
_cell_angle_beta 90.00
_cell_angle_gamma 90.00
loop_
_symmetry_equiv_pos_as_xyz
'x,y,z'
'-x,-y,-z'
'-x,-y,z'
'x,y,-z'
'x,-y,-z'
'-x,y,z'
'-x,y,-z'
'x,-y,z'
loop_
_atom_site_label
_atom_site_type_symbol
_atom_site_fract_x
_atom_site_fract_y
_atom_site_fract_z
Li1 Li 0.000 0.000 0.000
Li2 Li 0.500 0.500 0.000
Sc1 Sc 0.000 0.500 0.500
Rh1 Rh 0.500 0.000 0.500
# energy	-4.705	eV per atom
# energy relative to the elements	-1.31	eV/f.u.
# density	4.075	g cm⁻³
# ΔE to the lowest computed polymorph	33	meV/atom
# crystal system	orthorhombic